Record 1
Below is a geometry-optimized TbCu3S3 structure, with properties calculated at the GGA-PBEsol level.

abc: 6.582 6.582 7.339
angles: 63.36 63.36 60.00
Sites, in units of the cell vectors:
Tb  0.833  0.833  0.500
Tb  0.167  0.167  0.500
Cu  0.966  0.280  0.131
Cu  0.280  0.623  0.131
Cu  0.623  0.966  0.131
Cu  0.377  0.034  0.869
Cu  0.720  0.377  0.869
Cu  0.034  0.720  0.869
S  0.743  0.088  0.753
S  0.416  0.743  0.753
S  0.088  0.416  0.753
S  0.912  0.584  0.247
S  0.584  0.257  0.247
S  0.257  0.912  0.247

Properties
The calculation puts the size of the total moment at 0.0 μB per formula unit. As for the space-group type: R-3. For the formation energy without anion corrections, the calculation gives -0.904 eV/atom. For the density, the calculation gives 6.28 g/cm³. The energy comes out at -5.356 eV/atom.

---

Record 2
Below is a geometry-optimized ZrZnBH2 structure, with properties calculated at the GGA-PBEsol level.

abc: 3.621 3.621 4.680
angles: 90.00 90.00 90.00
Sites, in units of the cell vectors:
H  0.000  0.500  0.000
H  0.500  0.000  0.000
Zn  0.500  0.500  0.500
B  0.000  0.000  0.500
Zr  0.000  0.000  0.000

Properties
The calculation puts the size of the total moment at 0.0 μB per formula unit. As for the space-group type: P4/mmm. For the density, the calculation gives 4.59 g/cm³. The energy comes out at -4.358 eV/atom.

---

Copy entry 2 word for word.
Below is a geometry-optimized ZrZnBH2 structure, with properties calculated at the GGA-PBEsol level.

abc: 3.621 3.621 4.680
angles: 90.00 90.00 90.00
Sites, in units of the cell vectors:
H  0.000  0.500  0.000
H  0.500  0.000  0.000
Zn  0.500  0.500  0.500
B  0.000  0.000  0.500
Zr  0.000  0.000  0.000

Properties
The calculation puts the size of the total moment at 0.0 μB per formula unit. As for the space-group type: P4/mmm. For the density, the calculation gives 4.59 g/cm³. The energy comes out at -4.358 eV/atom.

---

Copy entry 1 word for word.
Below is a geometry-optimized TbCu3S3 structure, with properties calculated at the GGA-PBEsol level.

abc: 6.582 6.582 7.339
angles: 63.36 63.36 60.00
Sites, in units of the cell vectors:
Tb  0.833  0.833  0.500
Tb  0.167  0.167  0.500
Cu  0.966  0.280  0.131
Cu  0.280  0.623  0.131
Cu  0.623  0.966  0.131
Cu  0.377  0.034  0.869
Cu  0.720  0.377  0.869
Cu  0.034  0.720  0.869
S  0.743  0.088  0.753
S  0.416  0.743  0.753
S  0.088  0.416  0.753
S  0.912  0.584  0.247
S  0.584  0.257  0.247
S  0.257  0.912  0.247

Properties
The calculation puts the size of the total moment at 0.0 μB per formula unit. As for the space-group type: R-3. For the formation energy without anion corrections, the calculation gives -0.904 eV/atom. For the density, the calculation gives 6.28 g/cm³. The energy comes out at -5.356 eV/atom.

---

Question: density of number 1 (TbCu3S3)?
Answer: 6.28 g/cm³